1.
# Li4MnCo2O7

Crystalline Li4MnCo2O7 at its relaxed geometry (PBE with a Hubbard U, the Alexandria database).

Computed properties:
Crystal system: triclinic
Volume (Å³/atom): 8.6

Cell: 2.878 9.676 9.612 Å, 114.99 91.18 97.79°
Last column: magnetic moment on the atom in μB.
Atoms (fractional coordinates):
Li  0.077  0.144  0.783  0.00
Li  0.572  0.147  0.288  0.01
Li  0.948  0.876  0.229  0.00
Li  0.515  0.002  0.497  0.01
Li  0.376  0.711  0.926  0.00
Li  0.624  0.283  0.077  0.00
Li  0.184  0.415  0.349  0.00
Li  0.786  0.572  0.642  0.00
Co  0.139  0.281  0.565  0.92
Co  0.837  0.715  0.433  0.02
Co  0.734  0.428  0.852  0.01
Co  0.420  0.855  0.714  0.01
Mn  0.285  0.572  0.143  3.85
Mn  0.002  0.004  0.006  3.09
O  0.621  0.231  0.674  -0.04
O  0.940  0.912  0.613  0.00
O  0.053  0.089  0.412  0.13
O  0.359  0.777  0.332  -0.01
O  0.250  0.481  0.748  -0.01
O  0.682  0.350  0.481  -0.02
O  0.521  0.054  0.893  -0.06
O  0.478  0.934  0.094  -0.06
O  0.709  0.511  0.257  0.01
O  0.319  0.660  0.535  0.00
O  0.214  0.367  0.951  -0.01
O  0.095  0.200  0.161  0.03
O  0.861  0.630  0.027  0.01
O  0.900  0.799  0.816  -0.03


2.
# Li4MnCo2O7

Crystalline Li4MnCo2O7 at its relaxed geometry (PBE with a Hubbard U, the Alexandria database).

Computed properties:
Crystal system: triclinic
Volume (Å³/atom): 8.9

Cell: 2.949 6.445 13.620 Å, 83.47 86.56 77.02°
Last column: magnetic moment on the atom in μB.
Atoms (fractional coordinates):
O  0.171  0.152  0.522  0.01
O  0.982  0.740  0.251  0.00
O  0.579  0.975  0.908  -0.05
O  0.985  0.244  0.756  0.27
O  0.199  0.694  0.041  0.01
O  0.238  0.124  0.334  -0.04
O  0.286  0.600  0.824  0.33
O  0.409  0.563  0.599  0.28
O  0.738  0.399  0.187  0.05
O  0.499  0.024  0.096  -0.08
O  0.530  0.444  0.390  0.08
O  0.683  0.895  0.663  0.14
O  0.897  0.301  0.964  0.09
O  0.866  0.838  0.467  0.07
Co  0.282  0.843  0.573  2.39
Co  0.701  0.139  0.430  -0.01
Co  0.123  0.428  0.291  1.91
Co  0.426  0.313  0.845  3.00
Li  0.152  0.919  0.772  0.01
Li  0.407  0.782  0.364  0.00
Li  0.520  0.220  0.652  0.01
Li  0.839  0.575  0.714  0.01
Li  0.982  0.497  0.502  0.01
Li  0.803  0.078  0.228  0.00
Li  0.736  0.641  0.921  0.01
Li  0.332  0.360  0.065  0.01
Mn  0.039  0.004  0.998  3.22
Mn  0.594  0.709  0.147  3.85


3.
# Li4MnCo2O7

Crystalline Li4MnCo2O7 at its relaxed geometry (PBE with a Hubbard U, the Alexandria database).

Computed properties:
Crystal system: triclinic
Volume (Å³/atom): 8.6

Cell: 4.949 5.125 10.032 Å, 99.01 99.98 100.17°
Last column: magnetic moment on the atom in μB.
Atoms (fractional coordinates):
Li  0.500  0.500  0.000  0.00
Li  0.782  0.056  0.561  0.01
Li  0.351  0.226  0.704  0.00
Li  0.218  0.944  0.439  0.01
Li  0.500  0.500  0.500  0.01
Li  0.928  0.365  0.854  0.00
Li  0.072  0.635  0.146  0.00
Li  0.649  0.774  0.296  0.00
O  0.858  0.749  0.962  -0.03
O  0.880  0.698  0.469  0.03
O  0.572  0.132  0.377  0.02
O  0.712  0.389  0.180  -0.07
O  0.432  0.878  0.098  -0.03
O  0.288  0.611  0.820  -0.07
O  0.428  0.868  0.623  0.02
O  0.568  0.122  0.902  -0.03
O  0.142  0.251  0.038  -0.03
O  0.009  0.001  0.237  0.02
O  0.720  0.482  0.691  -0.01
O  0.120  0.302  0.531  0.03
O  0.280  0.518  0.309  -0.01
O  0.991  0.999  0.763  0.02
Co  0.074  0.642  0.639  1.85
Co  0.213  0.933  0.929  0.02
Co  0.787  0.067  0.071  0.02
Co  0.926  0.358  0.361  1.85
Mn  0.642  0.799  0.785  3.13
Mn  0.358  0.201  0.215  3.13


4.
# Li7Mn4CoO12

Crystalline Li7Mn4CoO12 at its relaxed geometry (PBE with a Hubbard U, the Alexandria database).

Computed properties:
Crystal system: triclinic
Volume (Å³/atom): 8.9

Cell: 5.933 5.933 6.447 Å, 102.88 102.92 93.01°
Last column: magnetic moment on the atom in μB.
Atoms (fractional coordinates):
Li  0.503  0.001  0.005  0.01
Li  0.998  0.501  0.999  0.01
Li  0.850  0.805  0.328  -0.01
Li  0.167  0.664  0.673  0.01
Li  0.150  0.190  0.673  -0.01
Li  0.491  0.514  0.998  -0.01
Li  0.831  0.334  0.322  0.01
O  0.885  0.420  0.663  -0.02
O  0.447  0.898  0.648  -0.05
O  0.083  0.100  0.321  -0.01
O  0.546  0.098  0.346  -0.08
O  0.770  0.219  0.985  -0.06
O  0.411  0.423  0.653  0.01
O  0.236  0.776  0.023  -0.06
O  0.244  0.243  0.017  -0.05
O  0.575  0.567  0.335  0.01
O  0.929  0.906  0.683  0.00
O  0.119  0.580  0.334  -0.06
O  0.761  0.761  0.994  -0.04
Mn  0.669  0.168  0.670  3.86
Mn  0.674  0.660  0.667  2.04
Mn  0.000  0.996  0.000  3.15
Mn  0.327  0.342  0.332  3.14
Co  0.332  0.832  0.332  1.98


Relative energy among the computed polymorphs list, top to bottom, in meV/atom: 39.7, 76.4, 29.0, 58.8
DFT total energy list, top to bottom, in eV/cell: -163.57, -162.55, -163.88, -148.21